The following is a DFT calculation (PBE-GGA) of crystalline Cs3Pu3SnS8 at its relaxed geometry.

Summary:
- E_tot (eV/atom) = -6.85
- space-group type = R-3m
- raw formation energy (eV/atom) = -1.3398
- crystal system = trigonal
- V (Å³/atom) = 31.6
- DOS(E_F) (states/eV/f.u.) = 27.56

Unit cell a=9.346 b=9.346 c=9.346 alpha=52.36 beta=52.36 gamma=52.36
Sites, in units of the cell vectors:
Cs (0.000, 0.500, 0.500)
Cs (0.500, 0.000, 0.500)
Cs (0.500, 0.500, 0.000)
Pu (0.000, 0.000, 0.500)
Pu (0.000, 0.500, 0.000)
Pu (0.500, 0.000, 0.000)
Sn (0.500, 0.500, 0.500)
S (0.210, 0.732, 0.732)
S (0.226, 0.226, 0.226)
S (0.268, 0.268, 0.790)
S (0.268, 0.790, 0.268)
S (0.732, 0.210, 0.732)
S (0.732, 0.732, 0.210)
S (0.774, 0.774, 0.774)
S (0.790, 0.268, 0.268)